The following is a DFT calculation (GGA-PBE) of crystalline NdDyCu2As4 at its relaxed geometry.

Unit cell a=3.9527 b=3.9527 c=10.0125 alpha=90.00 beta=90.00 gamma=90.00
Element x y z (fractional)
Nd 0.0000 0.0000 0.0000
Dy 0.5000 0.5000 0.5247
Cu 0.0000 0.5000 0.2681
Cu 0.5000 0.0000 0.2681
As 0.0000 0.0000 0.4244
As 0.0000 0.5000 0.7572
As 0.5000 0.0000 0.7572
As 0.5000 0.5000 0.1132

Results
The space group is P4mm. Its total energy is -5.254 eV per atom.